Record 1
Material: AsRu
Method: DFT, PBE
State: relaxed

The structure in extended XYZ format:
```
6
Lattice="4.4340 -1.5141 0.0000 4.4340 1.5141 0.0000 -2.2033 0.0000 6.7287" Properties=species:S:1:pos:R:3 pbc="T T T"
As 0.0000 0.0000 0.0000
As -0.5792 0.0000 4.1102
As 5.8030 0.0000 2.3847
Ru 1.8828 0.0000 4.5541
Ru 3.3004 0.0000 1.9334
Ru 4.2272 0.0000 6.3010
```

Computed properties:
The calculation puts the density of states at the Fermi level at 0.66 states/eV/atom. Its total magnetization is 0.0 μB/cell. The value obtained for the formation energy is -5 kJ/mol of atoms.

=====

Record 2
Material: TlInOsO6
Method: DFT, PBE
State: relaxed

The structure in extended XYZ format:
```
9
Lattice="5.5603 0.0000 0.0000 -2.7801 4.8154 0.0000 0.0000 0.0000 5.2318" Properties=species:S:1:pos:R:3 pbc="T T T"
Tl 0.0000 0.0000 0.0000
In 0.0000 3.2102 2.6159
Os 2.7801 1.6051 2.6159
O 2.1772 0.1862 3.7131
O 1.2499 1.7924 1.5188
O 3.3831 0.1862 1.5188
O 1.8528 2.8367 3.7131
O 4.3104 1.7924 3.7131
O 3.7075 2.8367 1.5188
```

Computed properties:
The calculation puts the density of states at the Fermi level at 0.16 states/eV/atom. Its total magnetization is 0.0 μB/cell. The raw formation energy is -8.84 eV/f.u.

=====

Record 3
Material: CoAs
Method: DFT, PBE
State: relaxed

The structure in extended XYZ format:
```
16
Lattice="10.5260 0.0000 0.0000 0.0000 10.5260 0.0000 0.0000 0.0000 3.0940" Properties=species:S:1:pos:R:3 pbc="T T T"
Co 0.6045 4.1230 0.0000
Co 1.0181 7.6198 1.5470
Co 2.9062 1.0181 1.5470
Co 4.1230 9.9215 0.0000
Co 6.4030 0.6045 0.0000
Co 7.6198 9.5079 1.5470
Co 9.5079 2.9062 1.5470
Co 9.9215 6.4030 0.0000
As 1.3047 2.6037 1.5470
As 1.7408 6.1118 0.0000
As 2.6037 9.2213 1.5470
As 4.4142 1.7408 0.0000
As 6.1118 8.7852 0.0000
As 7.9223 1.3047 1.5470
As 8.7852 4.4142 0.0000
As 9.2213 7.9223 1.5470
```

Computed properties:
The calculation puts the density of states at the Fermi level at 0.82 states/eV/atom. Its total magnetization is 0.0 μB/cell. The value obtained for the formation energy is 0 kJ/mol of atoms.